Here is crystalline CrFe2Ru at its relaxed geometry from the Alexandria database. Energies are from GGA-PBEsol.

Computed properties:
Its total energy is -9.46 eV/atom. As for the space-group type: P4mm (99). The formation energy comes out at 125 meV/atom.

a = 2.847 Å, b = 2.847 Å, c = 5.750 Å
α = 90.00°, β = 90.00°, γ = 90.00°
Sites, in units of the cell vectors:
Cr: 0.000 0.000 0.000
Fe: 0.000 0.000 0.464
Fe: 0.500 0.500 0.237
Ru: 0.500 0.500 0.742